DFT (GGA+U) results for a relaxed NaMo4O14 crystal.

Calculated values
Total magnetic moment ... 2.0 μB/f.u.
E_tot ... -126.07 eV/cell
N(E_F) ... 1.9 states/eV/cell

```
NaMo4O14
1.0
5.3849 -0.0097 0.0037
-0.0161 5.3849 0.0037
1.3328 1.3344 9.9950
Na Mo O
1 4 14
Direct
0.0139 0.9861 0.0000
0.8561 0.8256 0.6466
0.3481 0.3179 0.6510
0.1744 0.1439 0.3534
0.6821 0.6519 0.3490
0.6066 0.0783 0.6267
0.1094 0.5769 0.6263
0.9217 0.3934 0.3733
0.4231 0.8906 0.3737
0.4200 0.3890 0.3889
0.9088 0.8791 0.4155
0.6110 0.5800 0.6111
0.1209 0.0912 0.5845
0.2744 0.2448 0.8223
0.8490 0.8181 0.8181
0.7552 0.7256 0.1777
0.1819 0.1510 0.1819
0.4372 0.5628 0.0000
0.5982 0.4018 0.0000
```